1.
# PBE TlFe2Re2, relaxed
# * energy above the lowest structure with this stoichiometry: 0.013 eV/atom
# * magnetic moment: 1.6 μB/f.u.
# * crystal system: tetragonal
data_TlFe2Re2
_chemical_formula_sum 'Tl2 Fe4 Re4'
_cell_length_a 3.943
_cell_length_b 3.943
_cell_length_c 10.182
_cell_angle_alpha 90.00
_cell_angle_beta 90.00
_cell_angle_gamma 90.00
_symmetry_space_group_name_H-M 'I 4/m m m'
_symmetry_Int_Tables_number 139
_symmetry_space_group_name_Hall '-I 4 2'
loop_
_atom_site_label
_atom_site_type_symbol
_atom_site_fract_x
_atom_site_fract_y
_atom_site_fract_z
Tl1 Tl 0.000 0.000 0.000
Fe1 Fe 0.000 0.000 0.392
Re1 Re 0.000 0.500 0.250

---

2.
# PBE TmFe4Re, relaxed
# * magnetic moment: 8.4 μB/f.u.
# * crystal system: cubic
# * total energy: -8.40 eV/atom
data_TmFe4Re
_chemical_formula_sum 'Tm4 Fe16 Re4'
_cell_length_a 6.931
_cell_length_b 6.931
_cell_length_c 6.931
_cell_angle_alpha 90.00
_cell_angle_beta 90.00
_cell_angle_gamma 90.00
_symmetry_space_group_name_H-M 'F -4 3 m'
_symmetry_Int_Tables_number 216
_symmetry_space_group_name_Hall 'F -4 2 3'
loop_
_atom_site_label
_atom_site_type_symbol
_atom_site_fract_x
_atom_site_fract_y
_atom_site_fract_z
Tm1 Tm 0.000 0.000 0.000
Fe1 Fe 0.124 0.124 0.376
Re1 Re 0.250 0.250 0.750

---

3.
# PBE Tm2FeRe3, relaxed
# * magnetic moment: 2.2 μB/f.u.
# * crystal system: trigonal
# * total energy: -9.35 eV/atom
data_Tm2FeRe3
_chemical_formula_sum 'Tm6 Fe3 Re9'
_cell_length_a 5.2810
_cell_length_b 5.2810
_cell_length_c 13.3154
_cell_angle_alpha 90.00
_cell_angle_beta 90.00
_cell_angle_gamma 120.00
_symmetry_space_group_name_H-M 'R -3 m'
_symmetry_Int_Tables_number 166
_symmetry_space_group_name_Hall '-R 3 2"'
loop_
_atom_site_label
_atom_site_type_symbol
_atom_site_fract_x
_atom_site_fract_y
_atom_site_fract_z
Tm1 Tm 0.0000 0.0000 0.1246
Fe1 Fe 0.0000 0.0000 0.5000
Re1 Re 0.0000 0.5000 0.0000

---

4.
# PBE TmFeRe, relaxed
# * energy above the lowest structure with this stoichiometry: 0.000 eV/atom
# * magnetic moment: 1.6 μB/f.u.
# * crystal system: orthorhombic
data_TmFeRe
_chemical_formula_sum 'Tm4 Fe4 Re4'
_cell_length_a 5.154
_cell_length_b 5.254
_cell_length_c 7.540
_cell_angle_alpha 90.00
_cell_angle_beta 90.00
_cell_angle_gamma 90.00
_symmetry_space_group_name_H-M 'I m m a'
_symmetry_Int_Tables_number 74
_symmetry_space_group_name_Hall '-I 2b 2'
loop_
_atom_site_label
_atom_site_type_symbol
_atom_site_fract_x
_atom_site_fract_y
_atom_site_fract_z
Tm1 Tm 0.000 0.250 0.124
Fe1 Fe 0.000 0.000 0.500
Re1 Re 0.250 0.250 0.750

---

5.
# PBE TmFe10Re2, relaxed
# * magnetic moment: 19.1 μB/f.u.
# * crystal system: orthorhombic
# * total energy: -8.81 eV/atom
data_TmFe10Re2
_chemical_formula_sum 'Tm2 Fe20 Re4'
_cell_length_a 4.689
_cell_length_b 8.431
_cell_length_c 8.581
_cell_angle_alpha 90.00
_cell_angle_beta 90.00
_cell_angle_gamma 90.00
_symmetry_space_group_name_H-M 'I m m m'
_symmetry_Int_Tables_number 71
_symmetry_space_group_name_Hall '-I 2 2'
loop_
_atom_site_label
_atom_site_type_symbol
_atom_site_fract_x
_atom_site_fract_y
_atom_site_fract_z
Tm1 Tm 0.000 0.000 0.000
Fe1 Fe 0.000 0.284 0.500
Fe2 Fe 0.000 0.357 0.000
Fe3 Fe 0.000 0.500 0.271
Fe4 Fe 0.250 0.250 0.250
Re1 Re 0.000 0.000 0.357

---

6.
# PBE TmFeRe, relaxed
# * energy above the lowest structure with this stoichiometry: 0.401 eV/atom
# * magnetic moment: 0.9 μB/f.u.
# * crystal system: orthorhombic
data_TmFeRe
_chemical_formula_sum 'Tm4 Fe4 Re4'
_cell_length_a 4.149
_cell_length_b 10.323
_cell_length_c 4.833
_cell_angle_alpha 90.00
_cell_angle_beta 90.00
_cell_angle_gamma 90.00
_symmetry_space_group_name_H-M 'C m c m'
_symmetry_Int_Tables_number 63
_symmetry_space_group_name_Hall '-C 2c 2'
loop_
_atom_site_label
_atom_site_type_symbol
_atom_site_fract_x
_atom_site_fract_y
_atom_site_fract_z
Tm1 Tm 0.000 0.115 0.250
Fe1 Fe 0.000 0.197 0.750
Re1 Re 0.000 0.423 0.250

---

7.
# PBE TmFe2Re, relaxed
# * magnetic moment: 2.2 μB/f.u.
# * crystal system: monoclinic
# * total energy: -8.03 eV/atom
data_TmFe2Re
_chemical_formula_sum 'Tm4 Fe8 Re4'
_cell_length_a 6.004
_cell_length_b 6.209
_cell_length_c 9.636
_cell_angle_alpha 90.00
_cell_angle_beta 128.46
_cell_angle_gamma 90.00
_symmetry_space_group_name_H-M 'P 1 2/c 1'
_symmetry_Int_Tables_number 13
_symmetry_space_group_name_Hall '-P 2yc'
loop_
_atom_site_label
_atom_site_type_symbol
_atom_site_fract_x
_atom_site_fract_y
_atom_site_fract_z
Tm1 Tm 0.000 0.230 0.250
Tm2 Tm 0.500 0.230 0.750
Fe1 Fe 0.000 0.000 0.000
Fe2 Fe 0.370 0.118 0.000
Fe3 Fe 0.500 0.500 0.000
Re1 Re 0.000 0.287 0.750
Re2 Re 0.500 0.287 0.250

---

8.
# PBE U2FeRe, relaxed
# * energy above the lowest structure with this stoichiometry: 0.000 eV/atom
# * magnetic moment: 0.3 μB/f.u.
# * crystal system: tetragonal
data_U2FeRe
_chemical_formula_sum 'U2 Fe1 Re1'
_cell_length_a 3.379
_cell_length_b 3.379
_cell_length_c 6.190
_cell_angle_alpha 90.00
_cell_angle_beta 90.00
_cell_angle_gamma 90.00
_symmetry_space_group_name_H-M 'P 4/m m m'
_symmetry_Int_Tables_number 123
_symmetry_space_group_name_Hall '-P 4 2'
loop_
_atom_site_label
_atom_site_type_symbol
_atom_site_fract_x
_atom_site_fract_y
_atom_site_fract_z
U1 U 0.000 0.000 0.212
Fe1 Fe 0.500 0.500 0.000
Re1 Re 0.500 0.500 0.500

---

Question: The highest magnetic moment belongs to which entry?
Answer: TmFe10Re2

---

Question: What is the formula in the seventh record?
Answer: TmFe2Re